Entry 1:
# ZrOsF2, relaxed, DFT PBE
data_ZrOsF2
_cell_length_a 2.8485
_cell_length_b 2.8485
_cell_length_c 27.4638
_cell_angle_alpha 90.00
_cell_angle_beta 90.00
_cell_angle_gamma 120.00
_symmetry_space_group_name_H-M 'R -3 m'
_symmetry_Int_Tables_number 166
_symmetry_space_group_name_Hall '-R 3 2"'
loop_
_atom_site_label
_atom_site_fract_x
_atom_site_fract_y
_atom_site_fract_z
Zr1 0.0000 0.0000 0.0000
Os1 0.0000 0.0000 0.5000
F1 0.0000 0.0000 0.0715
# raw total energy	-6.53	eV/atom
# formation energy without anion corrections	-15.070	kcal/mol of atoms
# magnetic moment	0.509	μB/atom

Entry 2:
# Zr2OsF, relaxed, DFT PBE
data_Zr2OsF
_cell_length_a 5.466
_cell_length_b 5.466
_cell_length_c 11.341
_cell_angle_alpha 90.00
_cell_angle_beta 90.00
_cell_angle_gamma 90.00
_symmetry_space_group_name_H-M 'I -4 2 d'
_symmetry_Int_Tables_number 122
_symmetry_space_group_name_Hall 'I -4 2bw'
loop_
_atom_site_label
_atom_site_fract_x
_atom_site_fract_y
_atom_site_fract_z
Zr1 0.202 0.250 0.125
Os1 0.000 0.000 0.500
F1 0.000 0.000 0.000
# raw total energy	-8.10	eV/atom
# formation energy without anion corrections	-12.756	kcal/mol of atoms
# magnetic moment	0.000	μB/atom

Entry 3:
# Zr2OsF, relaxed, DFT PBE
data_Zr2OsF
_cell_length_a 6.508
_cell_length_b 6.508
_cell_length_c 6.508
_cell_angle_alpha 90.00
_cell_angle_beta 90.00
_cell_angle_gamma 90.00
_symmetry_space_group_name_H-M 'F m -3 m'
_symmetry_Int_Tables_number 225
_symmetry_space_group_name_Hall '-F 4 2 3'
loop_
_atom_site_label
_atom_site_fract_x
_atom_site_fract_y
_atom_site_fract_z
Zr1 0.250 0.250 0.250
Os1 0.000 0.000 0.000
F1 0.000 0.000 0.500
# raw total energy	-8.28	eV/atom
# formation energy without anion corrections	-16.796	kcal/mol of atoms
# magnetic moment	0.000	μB/atom